VASP calculation (PBE-GGA) on a geometry-optimized Ce5Sn3 structure.

CIF file:
```
data_Ce5Sn3
_space_group_name_H-M_alt 'C m m m'
_space_group_IT_number 65
_space_group_name_Hall '-C 2 2'
_cell_length_a 7.401
_cell_length_b 10.836
_cell_length_c 5.637
_cell_angle_alpha 90.00
_cell_angle_beta 90.00
_cell_angle_gamma 90.00
loop_
_atom_site_label
_atom_site_fract_x
_atom_site_fract_y
_atom_site_fract_z
Ce1 0.000 0.000 0.000
Ce2 0.184 0.500 0.500
Ce3 0.250 0.250 0.000
Sn1 0.000 0.208 0.500
Sn2 0.000 0.500 0.000
```

Values from the calculation:
The formation energy comes out at -0.5043 eV per atom.

---

VASP calculation (PBE-GGA) on a geometry-optimized Pm3Ga8Cu3 structure.

CIF file:
```
data_Pm3Ga8Cu3
_space_group_name_H-M_alt 'I m m m'
_space_group_IT_number 71
_space_group_name_Hall '-I 2 2'
_cell_length_a 4.328
_cell_length_b 9.446
_cell_length_c 12.675
_cell_angle_alpha 90.00
_cell_angle_beta 90.00
_cell_angle_gamma 90.00
loop_
_atom_site_label
_atom_site_fract_x
_atom_site_fract_y
_atom_site_fract_z
Pm1 0.000 0.000 0.000
Pm2 0.000 0.000 0.303
Ga1 0.000 0.288 0.131
Ga2 0.000 0.363 0.345
Cu1 0.000 0.189 0.500
Cu2 0.000 0.500 0.000
```

Values from the calculation:
The formation energy comes out at -0.4864 eV per atom.

---

VASP calculation (PBE-GGA) on a geometry-optimized Zr2N2O structure.

CIF file:
```
data_Zr2N2O
_space_group_name_H-M_alt 'C 1 m 1'
_space_group_IT_number 8
_space_group_name_Hall 'C -2y'
_cell_length_a 13.737
_cell_length_b 3.342
_cell_length_c 12.838
_cell_angle_alpha 90.00
_cell_angle_beta 122.20
_cell_angle_gamma 90.00
loop_
_atom_site_label
_atom_site_fract_x
_atom_site_fract_y
_atom_site_fract_z
Zr1 0.000 0.000 0.000
Zr2 0.002 0.500 0.282
Zr3 0.012 0.500 0.780
Zr4 0.020 0.000 0.542
Zr5 0.256 0.000 0.487
Zr6 0.261 0.500 0.745
Zr7 0.267 0.500 0.260
Zr8 0.272 0.000 0.033
N1 0.081 0.500 0.665
N2 0.091 0.000 0.893
N3 0.181 0.000 0.136
N4 0.188 0.500 0.368
N5 0.216 0.000 0.627
N6 0.369 0.500 0.176
N7 0.388 0.000 0.404
N8 0.410 0.000 0.863
O1 0.061 0.000 0.403
O2 0.283 0.500 0.928
O3 0.393 0.500 0.623
O4 0.484 0.000 0.107
```

Values from the calculation:
The uncorrected formation energy comes out at -1.9876 eV/atom.

---

VASP calculation (PBE-GGA) on a geometry-optimized Cs2TeI2F4 structure.

CIF file:
```
data_Cs2TeI2F4
_space_group_name_H-M_alt 'I 4/m m m'
_space_group_IT_number 139
_space_group_name_Hall '-I 4 2'
_cell_length_a 7.742
_cell_length_b 7.742
_cell_length_c 9.692
_cell_angle_alpha 90.00
_cell_angle_beta 90.00
_cell_angle_gamma 90.00
loop_
_atom_site_label
_atom_site_fract_x
_atom_site_fract_y
_atom_site_fract_z
Cs1 0.000 0.500 0.250
Te1 0.000 0.000 0.000
I1 0.000 0.000 0.311
F1 0.190 0.190 0.000
```

Values from the calculation:
The uncorrected formation energy comes out at -1.8858 eV/atom.

---

VASP calculation (PBE-GGA) on a geometry-optimized LaSbIr structure.

CIF file:
```
data_LaSbIr
_space_group_name_H-M_alt 'I m m a'
_space_group_IT_number 74
_space_group_name_Hall '-I 2b 2'
_cell_length_a 5.680
_cell_length_b 8.408
_cell_length_c 6.597
_cell_angle_alpha 90.00
_cell_angle_beta 90.00
_cell_angle_gamma 90.00
loop_
_atom_site_label
_atom_site_fract_x
_atom_site_fract_y
_atom_site_fract_z
La1 0.000 0.000 0.000
Sb1 0.000 0.250 0.412
Ir1 0.250 0.250 0.750
```

Values from the calculation:
The uncorrected formation energy comes out at -0.7588 eV/atom.

---

VASP calculation (PBE-GGA) on a geometry-optimized MgTlBr3 structure.

CIF file:
```
data_MgTlBr3
_space_group_name_H-M_alt 'P n m a'
_space_group_IT_number 62
_space_group_name_Hall '-P 2ac 2n'
_cell_length_a 9.621
_cell_length_b 4.036
_cell_length_c 15.567
_cell_angle_alpha 90.00
_cell_angle_beta 90.00
_cell_angle_gamma 90.00
loop_
_atom_site_label
_atom_site_fract_x
_atom_site_fract_y
_atom_site_fract_z
Mg1 0.161 0.250 0.053
Tl1 0.043 0.750 0.323
Br1 0.020 0.250 0.901
Br2 0.176 0.250 0.496
Br3 0.229 0.750 0.707
```

Values from the calculation:
The uncorrected formation energy comes out at -1.2289 eV/atom.

---

VASP calculation (PBE-GGA) on a geometry-optimized Pm2CuAs3Pt4 structure.

CIF file:
```
data_Pm2CuAs3Pt4
_space_group_name_H-M_alt 'P -4 m 2'
_space_group_IT_number 115
_space_group_name_Hall 'P -4 -2'
_cell_length_a 4.389
_cell_length_b 4.389
_cell_length_c 9.954
_cell_angle_alpha 90.00
_cell_angle_beta 90.00
_cell_angle_gamma 90.00
loop_
_atom_site_label
_atom_site_fract_x
_atom_site_fract_y
_atom_site_fract_z
Pm1 0.000 0.500 0.249
Cu1 0.000 0.000 0.500
As1 0.000 0.500 0.865
As2 0.500 0.500 0.500
Pt1 0.000 0.000 0.000
Pt2 0.000 0.500 0.621
Pt3 0.500 0.500 0.000
```

Values from the calculation:
The formation energy comes out at -0.8167 eV per atom.

---

VASP calculation (PBE-GGA) on a geometry-optimized SmLuScGa structure.

CIF file:
```
data_SmLuScGa
_space_group_name_H-M_alt 'F -4 3 m'
_space_group_IT_number 216
_space_group_name_Hall 'F -4 2 3'
_cell_length_a 7.355
_cell_length_b 7.355
_cell_length_c 7.355
_cell_angle_alpha 90.00
_cell_angle_beta 90.00
_cell_angle_gamma 90.00
loop_
_atom_site_label
_atom_site_fract_x
_atom_site_fract_y
_atom_site_fract_z
Sm1 0.000 0.000 0.000
Lu1 0.000 0.000 0.500
Sc1 0.250 0.250 0.750
Ga1 0.250 0.250 0.250
```

Values from the calculation:
The formation energy comes out at -0.1314 eV per atom.

---

no.,uncorrected energy (eV per atom),mass density (g/cm³),N(E_F) (states/eV/atom)
1,-5.71,7.76,2.86
2,-4.11,7.58,0.23
3,-9.73,6.03,0.00
4,-3.60,4.13,0.00
5,-6.73,9.55,0.81
6,-3.02,5.15,0.00
7,-5.99,11.77,0.53
8,-4.78,7.34,1.43